# 1
# GGA-PBE RbTe2CBr, relaxed
# Size of the total moment in μB per cell: 2.00
# VASP energy in eV/cell: -8.91
# Calculated volume in Å³ per atom: 64.9
# Formation energy (no corrections) in meV/atom: 1847
data_RbTe2CBr
_chemical_formula_sum 'Rb1 Te2 C1 Br1'
_symmetry_space_group_name_H-M 'P 4/m m m'
_symmetry_Int_Tables_number 123
_symmetry_space_group_name_Hall '-P 4 2'
_cell_length_a 7.187
_cell_length_b 7.187
_cell_length_c 6.284
_cell_angle_alpha 90.00
_cell_angle_beta 90.00
_cell_angle_gamma 90.00
loop_
_atom_site_label
_atom_site_type_symbol
_atom_site_fract_x
_atom_site_fract_y
_atom_site_fract_z
Rb1 Rb 0.000 0.000 0.000
Te1 Te 0.000 0.500 0.000
C1 C 0.500 0.500 0.500
Br1 Br 0.000 0.000 0.500


# 2
# GGA-PBE K2BeAl, relaxed
# Size of the total moment in μB per cell: 2.46
# Relative energy among the computed polymorphs in meV per atom: 513
# Formation energy in eV/atom: 0.911
# VASP energy in eV/cell: -24.08
# Calculated volume in Å³ per atom: 34.0
data_K2BeAl
_chemical_formula_sum 'K8 Be4 Al4'
_symmetry_space_group_name_H-M 'F m -3 m'
_symmetry_Int_Tables_number 225
_symmetry_space_group_name_Hall '-F 4 2 3'
_cell_length_a 8.161
_cell_length_b 8.161
_cell_length_c 8.161
_cell_angle_alpha 90.00
_cell_angle_beta 90.00
_cell_angle_gamma 90.00
loop_
_atom_site_label
_atom_site_type_symbol
_atom_site_fract_x
_atom_site_fract_y
_atom_site_fract_z
K1 K 0.250 0.250 0.250
Be1 Be 0.000 0.000 0.000
Al1 Al 0.000 0.000 0.500


# 3
# GGA-PBE Ac2Tl2SiO6, relaxed
# Size of the total moment in μB per cell: 0.00
# VASP energy in eV/cell: -143.68
# Calculated volume in Å³ per atom: 18.6
# Formation energy (no corrections) in meV/atom: -2156
data_Ac2Tl2SiO6
_chemical_formula_sum 'Ac4 Tl4 Si2 O12'
_symmetry_space_group_name_H-M 'C 1 2/m 1'
_symmetry_Int_Tables_number 12
_symmetry_space_group_name_Hall '-C 2y'
_cell_length_a 6.275
_cell_length_b 10.428
_cell_length_c 6.411
_cell_angle_alpha 90.00
_cell_angle_beta 102.92
_cell_angle_gamma 90.00
loop_
_atom_site_label
_atom_site_type_symbol
_atom_site_fract_x
_atom_site_fract_y
_atom_site_fract_z
Ac1 Ac 0.000 0.166 0.000
Tl1 Tl 0.000 0.342 0.500
Si1 Si 0.000 0.500 0.000
O1 O 0.174 0.373 0.144
O2 O 0.192 0.500 0.800


# 4
# GGA-PBE CeSm2Ru, relaxed
# Size of the total moment in μB per cell: 1.82
# Relative energy among the computed polymorphs in meV per atom: 221
# Formation energy in eV/atom: -0.050
# VASP energy in eV/cell: -24.85
# Calculated volume in Å³ per atom: 27.4
data_CeSm2Ru
_chemical_formula_sum 'Ce1 Sm2 Ru1'
_symmetry_space_group_name_H-M 'P 4/m m m'
_symmetry_Int_Tables_number 123
_symmetry_space_group_name_Hall '-P 4 2'
_cell_length_a 3.477
_cell_length_b 3.477
_cell_length_c 9.052
_cell_angle_alpha 90.00
_cell_angle_beta 90.00
_cell_angle_gamma 90.00
loop_
_atom_site_label
_atom_site_type_symbol
_atom_site_fract_x
_atom_site_fract_y
_atom_site_fract_z
Ce1 Ce 0.000 0.000 0.000
Sm1 Sm 0.500 0.500 0.313
Ru1 Ru 0.000 0.000 0.500


# 5
# GGA-PBE TbNd2ThSe5, relaxed
# Size of the total moment in μB per cell: 0.00
# VASP energy in eV/cell: -49.27
# Calculated volume in Å³ per atom: 32.4
# Formation energy (no corrections) in meV/atom: -1141
data_TbNd2ThSe5
_chemical_formula_sum 'Tb1 Nd2 Th1 Se5'
_symmetry_space_group_name_H-M 'P 4/m m m'
_symmetry_Int_Tables_number 123
_symmetry_space_group_name_Hall '-P 4 2'
_cell_length_a 5.152
_cell_length_b 5.152
_cell_length_c 10.990
_cell_angle_alpha 90.00
_cell_angle_beta 90.00
_cell_angle_gamma 90.00
loop_
_atom_site_label
_atom_site_type_symbol
_atom_site_fract_x
_atom_site_fract_y
_atom_site_fract_z
Tb1 Tb 0.000 0.000 0.000
Nd1 Nd 0.500 0.500 0.168
Th1 Th 0.000 0.000 0.500
Se1 Se 0.000 0.000 0.252
Se2 Se 0.000 0.500 0.000
Se3 Se 0.500 0.500 0.500


# 6
# GGA-PBE Co2BiPb, relaxed
# Size of the total moment in μB per cell: 10.16
# Formation energy in eV/atom: 0.554
# VASP energy in eV/cell: -78.34
# Calculated volume in Å³ per atom: 18.7
data_Co2BiPb
_chemical_formula_sum 'Co8 Bi4 Pb4'
_symmetry_space_group_name_H-M 'F m -3 m'
_symmetry_Int_Tables_number 225
_symmetry_space_group_name_Hall '-F 4 2 3'
_cell_length_a 6.691
_cell_length_b 6.691
_cell_length_c 6.691
_cell_angle_alpha 90.00
_cell_angle_beta 90.00
_cell_angle_gamma 90.00
loop_
_atom_site_label
_atom_site_type_symbol
_atom_site_fract_x
_atom_site_fract_y
_atom_site_fract_z
Co1 Co 0.250 0.250 0.250
Bi1 Bi 0.000 0.000 0.000
Pb1 Pb 0.000 0.000 0.500